{
  "formula": "Li4Ti2V3Fe4O18",
  "functional": "PBE+U",
  "state": "relaxed",
  "cell": [[9.1303, 0.0000, 0.0000], [0.0000, 25.4231, 0.0000], [0.0000, 0.0000, 2.9605]],
  "species": ["Li", "Li", "Li", "Li", "Li", "Li", "Li", "Li", "Ti", "Ti", "Ti", "Ti", "V", "V", "V", "V", "V", "V", "Fe", "Fe", "Fe", "Fe", "Fe", "Fe", "Fe", "Fe", "O", "O", "O", "O", "O", "O", "O", "O", "O", "O", "O", "O", "O", "O", "O", "O", "O", "O", "O", "O", "O", "O", "O", "O", "O", "O", "O", "O", "O", "O", "O", "O", "O", "O", "O", "O"],
  "frac_coords": [[0.1862, 0.1755, 0.0000], [0.1944, 0.9931, 0.0000], [0.3056, 0.4931, 0.0000], [0.3138, 0.6755, 0.0000], [0.6862, 0.3245, 0.0000], [0.6944, 0.5069, 0.0000], [0.8056, 0.0069, 0.0000], [0.8138, 0.8245, 0.0000], [0.0188, 0.9018, 0.0000], [0.4812, 0.4018, 0.0000], [0.5188, 0.5982, 0.0000], [0.9812, 0.0982, 0.0000], [0.0000, 0.5000, 0.0000], [0.1672, 0.8104, 0.5000], [0.3328, 0.3104, 0.5000], [0.5000, 0.0000, 0.0000], [0.6672, 0.6896, 0.5000], [0.8328, 0.1896, 0.5000], [0.0123, 0.6955, 0.0000], [0.1580, 0.5859, 0.5000], [0.3420, 0.0859, 0.5000], [0.4877, 0.1955, 0.0000], [0.5123, 0.8045, 0.0000], [0.6580, 0.9141, 0.5000], [0.8420, 0.4141, 0.5000], [0.9877, 0.3045, 0.0000], [0.0127, 0.5747, 0.0000], [0.0292, 0.1548, 0.5000], [0.0697, 0.9456, 0.5000], [0.1069, 0.7636, 0.0000], [0.1324, 0.2933, 0.5000], [0.1389, 0.6657, 0.5000], [0.1490, 0.5029, 0.5000], [0.1904, 0.0838, 0.0000], [0.1982, 0.8604, 0.0000], [0.3018, 0.3604, 0.0000], [0.3096, 0.5838, 0.0000], [0.3510, 0.0029, 0.5000], [0.3611, 0.1657, 0.5000], [0.3676, 0.7933, 0.5000], [0.3931, 0.2636, 0.0000], [0.4303, 0.4456, 0.5000], [0.4708, 0.6548, 0.5000], [0.4873, 0.0747, 0.0000], [0.5127, 0.9253, 0.0000], [0.5292, 0.3452, 0.5000], [0.5697, 0.5544, 0.5000], [0.6069, 0.7364, 0.0000], [0.6324, 0.2067, 0.5000], [0.6389, 0.8343, 0.5000], [0.6490, 0.9971, 0.5000], [0.6904, 0.4162, 0.0000], [0.6982, 0.6396, 0.0000], [0.8018, 0.1396, 0.0000], [0.8096, 0.9162, 0.0000], [0.8510, 0.4971, 0.5000], [0.8611, 0.3343, 0.5000], [0.8676, 0.7067, 0.5000], [0.8931, 0.2364, 0.0000], [0.9303, 0.0544, 0.5000], [0.9708, 0.8452, 0.5000], [0.9873, 0.4253, 0.0000]],
  "sg": "No. 55",
  "final_energy_ev_per_atom": -7.10
}